--- one ---
Entry from the Alexandria database: a geometry-optimized AgGeF2 structure (GGA-PBE).

Cell lengths 4.143, 4.143, 7.981 Å; angles 74.96, 74.96, 90.00 degrees
Positions (direct):
Ge 0.250 0.750 0.500
F 0.159 0.625 0.250
F 0.591 0.125 0.250
Ge 0.500 0.500 0.000
F 0.875 0.841 0.750
F 0.375 0.409 0.750
Ag 0.750 0.250 0.500
Ag 0.000 0.000 0.000

* spin magnetization: 0.0 Bohr magnetons per cell
* DOS at the Fermi energy: 0.769 states/eV per atom
* ρ: 5.7 Mg/m³

***

--- two ---
Entry from the Alexandria database: a geometry-optimized AgGeF2 structure (GGA-PBE).

Cell lengths 4.347, 4.347, 4.347 Å; angles 60.00, 60.00, 60.00 degrees
Positions (direct):
Ag 0.500 0.500 0.500
F 0.750 0.750 0.750
F 0.250 0.250 0.250
Ge 0.000 0.000 0.000

* spin magnetization: 0.0 Bohr magnetons per cell
* DOS at the Fermi energy: 0.848 states/eV per atom
* ρ: 6.2 Mg/m³

***

Which structure loses on stability? two does.

***

--- one ---
Entry from the Alexandria database: a geometry-optimized AgGeF6 structure (GGA-PBE).

Cell lengths 5.999, 5.003, 5.003 Å; angles 79.79, 110.71, 69.29 degrees
Last column: magnetic moment on the atom in μB.
Positions (direct):
F 0.261 0.025 0.342  0.05
F 0.739 0.342 0.025  0.05
Ge 0.000 0.021 0.021  -0.01
F 0.261 0.700 0.016  0.05
F 0.739 0.016 0.700  0.05
F 0.078 0.269 0.772  0.14
Ag 0.500 0.021 0.021  0.55
F 0.922 0.772 0.269  0.14

* spin magnetization: 1.1 Bohr magnetons per cell
* DOS at the Fermi energy: 0.058 states/eV per atom
* ρ: 4.0 Mg/m³

***

--- two ---
Entry from the Alexandria database: a geometry-optimized AgGeF6 structure (GGA-PBE).

Cell lengths 5.089, 5.272, 5.745 Å; angles 59.32, 63.39, 61.43 degrees
Last column: magnetic moment on the atom in μB.
Positions (direct):
Ge 0.000 0.000 0.000  0.01
F 0.083 0.376 0.774  0.10
F 0.345 0.807 0.794  0.02
F 0.220 0.909 0.235  0.09
F 0.655 0.193 0.206  0.02
Ag 0.500 0.500 0.500  0.61
F 0.917 0.624 0.226  0.10
F 0.780 0.091 0.765  0.09

* spin magnetization: 1.1 Bohr magnetons per cell
* ρ: 4.4 Mg/m³

***

Which structure loses on stability? one does.

***

--- one ---
Entry from the Alexandria database: a geometry-optimized Ag3GeF structure (GGA-PBE).

Cell lengths 4.609, 4.609, 4.609 Å; angles 90.00, 90.00, 90.00 degrees
Positions (direct):
Ag 0.000 0.000 0.500
Ag 0.000 0.500 0.000
Ag 0.500 0.000 0.000
Ge 0.500 0.500 0.500
F 0.000 0.000 0.000

* spin magnetization: 0.0 Bohr magnetons per cell
* DOS at the Fermi energy: 0.368 states/eV per atom
* ρ: 7.0 Mg/m³

***

--- two ---
Entry from the Alexandria database: a geometry-optimized Ag3GeF structure (GGA-PBE).

Cell lengths 4.930, 4.930, 4.930 Å; angles 90.00, 90.00, 90.00 degrees
Last column: magnetic moment on the atom in μB.
Positions (direct):
F 0.500 0.500 0.500  0.18
Ag 0.000 0.000 0.500  0.07
Ag 0.500 0.000 0.000  0.07
Ge 0.000 0.000 0.000  0.15
Ag 0.000 0.500 0.000  0.10

* spin magnetization: 0.8 Bohr magnetons per cell
* DOS at the Fermi energy: 1.554 states/eV per atom
* ρ: 5.8 Mg/m³

***

Which structure loses on stability? two does.

***

--- one ---
Entry from the Alexandria database: a geometry-optimized AgGe3F structure (GGA-PBE).

Cell lengths 5.018, 5.018, 5.018 Å; angles 90.00, 90.00, 90.00 degrees
Positions (direct):
Ge 0.000 0.500 0.000
Ag 0.000 0.000 0.000
Ge 0.500 0.000 0.000
F 0.500 0.500 0.500
Ge 0.000 0.000 0.500

* spin magnetization: 0.0 Bohr magnetons per cell
* DOS at the Fermi energy: 0.546 states/eV per atom
* ρ: 4.5 Mg/m³

***

--- two ---
Entry from the Alexandria database: a geometry-optimized AgGe3F structure (GGA-PBE).

Cell lengths 4.589, 4.589, 4.589 Å; angles 90.00, 90.00, 90.00 degrees
Positions (direct):
Ge 0.000 0.000 0.500
Ge 0.000 0.500 0.000
Ag 0.500 0.500 0.500
Ge 0.500 0.000 0.000
F 0.000 0.000 0.000

* spin magnetization: 0.0 Bohr magnetons per cell
* DOS at the Fermi energy: 0.331 states/eV per atom
* ρ: 5.9 Mg/m³

***

Which structure loses on stability? one does.

***

--- one ---
Entry from the Alexandria database: a geometry-optimized AgHF4 structure (GGA-PBE).

Cell lengths 6.983, 11.126, 6.779 Å; angles 109.69, 75.19, 159.91 degrees
Positions (direct):
Ag 0.185 0.935 0.871
H 0.420 0.670 0.339
F 0.346 0.096 0.639
F 0.453 0.699 0.905
F 0.654 0.904 0.361
Ag 0.815 0.065 0.129
F 0.794 0.543 0.639
F 0.953 0.206 0.905
F 0.206 0.457 0.361
F 0.047 0.794 0.095
F 0.547 0.301 0.095
H 0.580 0.330 0.661

* spin magnetization: 0.0 Bohr magnetons per cell
* ρ: 3.7 Mg/m³

***

--- two ---
Entry from the Alexandria database: a geometry-optimized AgHF4 structure (GGA-PBE).

Cell lengths 5.194, 5.995, 6.075 Å; angles 109.46, 104.03, 112.02 degrees
Last column: magnetic moment on the atom in μB.
Positions (direct):
F 0.755 0.654 0.492  0.13
F 0.125 0.675 0.916  0.40
F 0.245 0.346 0.508  0.13
H 0.991 0.741 0.482  0.00
F 0.236 0.838 0.492  0.13
Ag 0.647 0.397 0.794  0.83
Ag 0.353 0.603 0.206  0.83
H 0.009 0.259 0.518  0.00
F 0.291 0.241 0.916  0.40
F 0.709 0.759 0.084  0.40
F 0.764 0.162 0.508  0.13
F 0.875 0.325 0.084  0.40

* spin magnetization: 4.0 Bohr magnetons per cell
* DOS at the Fermi energy: 0.225 states/eV per atom
* ρ: 4.1 Mg/m³

***

Which structure loses on stability? two does.

***

--- one ---
Entry from the Alexandria database: a geometry-optimized AgHF structure (GGA-PBE).

Cell lengths 2.744, 4.944, 14.150 Å; angles 90.00, 90.00, 90.00 degrees
Positions (direct):
Ag 0.250 0.411 0.749
F 0.041 0.500 0.017
H 0.795 0.500 0.500
F 0.959 0.000 0.483
H 0.295 0.000 0.500
H 0.705 0.500 0.000
Ag 0.750 0.911 0.751
Ag 0.750 0.089 0.251
Ag 0.250 0.589 0.249
F 0.541 0.000 0.983
F 0.459 0.500 0.517
H 0.205 0.000 0.000

* spin magnetization: 0.0 Bohr magnetons per cell
* DOS at the Fermi energy: 0.067 states/eV per atom
* ρ: 4.4 Mg/m³

***

--- two ---
Entry from the Alexandria database: a geometry-optimized AgHF structure (GGA-PBE).

Cell lengths 3.360, 3.487, 8.971 Å; angles 67.11, 114.34, 89.70 degrees
Positions (direct):
H 0.016 0.601 0.467
F 0.039 0.814 0.812
Ag 0.574 0.292 0.841
F 0.961 0.186 0.188
Ag 0.426 0.708 0.159
H 0.984 0.399 0.533

* spin magnetization: 0.0 Bohr magnetons per cell
* DOS at the Fermi energy: 0.078 states/eV per atom
* ρ: 4.9 Mg/m³

***

Which structure loses on stability? two does.

***

--- one ---
Entry from the Alexandria database: a geometry-optimized AgH3F6 structure (GGA-PBE).

Cell lengths 4.824, 5.777, 5.777 Å; angles 112.57, 106.16, 106.16 degrees
Positions (direct):
H 0.966 0.000 0.500
F 0.825 0.307 0.000
H 0.966 0.500 0.000
F 0.518 0.693 0.693
F 0.825 0.000 0.307
H 0.466 0.500 0.500
F 0.107 0.693 0.000
F 0.414 0.307 0.307
Ag 0.466 0.000 0.000
F 0.107 0.000 0.693

* spin magnetization: 0.0 Bohr magnetons per cell
* DOS at the Fermi energy: 0.393 states/eV per atom
* ρ: 2.9 Mg/m³

***

--- two ---
Entry from the Alexandria database: a geometry-optimized AgH3F6 structure (GGA-PBE).

Cell lengths 9.228, 9.512, 11.837 Å; angles 27.50, 34.26, 41.42 degrees
Last column: magnetic moment on the atom in μB.
Positions (direct):
H 0.196 0.421 0.267  0.00
F 0.233 0.593 0.178  0.00
H 0.286 0.272 0.996  0.00
F 0.141 0.984 0.771  0.05
H 0.714 0.728 0.004  0.00
Ag 0.000 0.000 0.000  0.03
F 0.650 0.858 0.883  0.00
Ag 0.500 0.500 0.500  0.00
F 0.321 0.316 0.620  0.00
H 0.804 0.579 0.733  0.00
F 0.785 0.578 0.154  0.00
F 0.350 0.142 0.117  0.00
F 0.215 0.422 0.846  0.00
H 0.232 0.199 0.253  0.00
F 0.767 0.407 0.822  0.00
F 0.863 0.788 0.619  0.00
F 0.137 0.212 0.381  0.00
F 0.859 0.016 0.229  0.05
H 0.768 0.801 0.747  0.00
F 0.679 0.684 0.380  0.00

* spin magnetization: 0.2 Bohr magnetons per cell
* ρ: 2.8 Mg/m³

***

Which structure loses on stability? one does.

***

--- one ---
Entry from the Alexandria database: a geometry-optimized Hf3AgF structure (GGA-PBE).

Cell lengths 4.505, 4.505, 4.505 Å; angles 90.00, 90.00, 90.00 degrees
Positions (direct):
Hf 0.000 0.000 0.500
Hf 0.000 0.500 0.000
Ag 0.500 0.500 0.500
Hf 0.500 0.000 0.000
F 0.000 0.000 0.000

* spin magnetization: 0.0 Bohr magnetons per cell
* DOS at the Fermi energy: 0.895 states/eV per atom
* ρ: 12.0 Mg/m³

***

--- two ---
Entry from the Alexandria database: a geometry-optimized Hf3AgF structure (GGA-PBE).

Cell lengths 5.137, 5.137, 5.137 Å; angles 90.00, 90.00, 90.00 degrees
Last column: magnetic moment on the atom in μB.
Positions (direct):
Hf 0.000 0.000 0.500  0.26
F 0.500 0.500 0.500  0.03
Hf 0.000 0.500 0.000  0.34
Ag 0.000 0.000 0.000  0.02
Hf 0.500 0.000 0.000  0.56

* spin magnetization: 2.0 Bohr magnetons per cell
* DOS at the Fermi energy: 0.560 states/eV per atom
* ρ: 8.1 Mg/m³

***

Which structure loses on stability? two does.